No. 1
! PBE BaAl3Sn, relaxed; values from VASP
&SYSTEM
  ibrav = 0, nat = 5, ntyp = 3
/
ATOMIC_SPECIES
Al 26.98 Al.upf
Ba 137.33 Ba.upf
Sn 118.71 Sn.upf
CELL_PARAMETERS angstrom
-1.629 2.403 5.051
3.997 -3.181 2.802
3.913 4.249 -0.759
ATOMIC_POSITIONS crystal
Al 0.000 0.000 0.500
Al 0.500 0.000 0.000
Ba 0.000 0.000 0.000
Al 0.000 0.500 0.000
Sn 0.500 0.500 0.500
! **Space-group type**: No. 221
! **Magnetic moment**: 0.0 μB per cell
! **E_tot**: -2.076 eV/atom
! **DOS(E_F)**: 2.61 states/eV/f.u.

---

No. 2
! PBE YZrGa4, relaxed; values from VASP
&SYSTEM
  ibrav = 0, nat = 6, ntyp = 3
/
ATOMIC_SPECIES
Ga 69.72 Ga.upf
Y 88.91 Y.upf
Zr 91.22 Zr.upf
CELL_PARAMETERS angstrom
-4.524 -2.892 -0.548
-0.314 -4.949 2.131
-3.163 -0.899 4.280
ATOMIC_POSITIONS crystal
Ga 0.625 0.625 0.124
Ga 0.625 0.625 0.625
Y 0.250 0.250 0.250
Zr 0.000 0.000 0.000
Ga 0.625 0.124 0.625
Ga 0.124 0.625 0.625
! **Space-group type**: No. 216
! **Magnetic moment**: 0.0 μB per cell
! **E_tot**: -5.024 eV/atom
! **DOS(E_F)**: 2.35 states/eV/f.u.

---

No. 3
! PBE LiTa2In, relaxed; values from VASP
&SYSTEM
  ibrav = 0, nat = 4, ntyp = 3
/
ATOMIC_SPECIES
Ta 180.95 Ta.upf
In 114.82 In.upf
Li 6.94 Li.upf
CELL_PARAMETERS angstrom
4.067 0.000 0.000
0.000 2.975 0.066
0.000 2.063 6.193
ATOMIC_POSITIONS crystal
Ta 0.000 0.948 0.008
In 0.000 0.526 0.522
Ta 0.500 0.275 0.228
Li 0.500 0.751 0.741
! **Space-group type**: No. 6
! **Magnetic moment**: 0.0 μB per cell
! **E_tot**: -6.893 eV/atom
! **DOS(E_F)**: 2.61 states/eV/f.u.